1.
# CuIrS2 (PBE-GGA, relaxed)
# - M_tot (μB/f.u.) = 0.0
# - DFT total energy (eV/atom) = -5.535
# - V (Å³ per atom) = 17.2
data_CuIrS2
_chemical_formula_sum 'Cu2 Ir2 S4'
_cell_length_a 6.163
_cell_length_b 3.622
_cell_length_c 6.356
_cell_angle_alpha 90.00
_cell_angle_beta 104.27
_cell_angle_gamma 90.00
_space_group_name_H-M_alt 'P 1 2/m 1'
_space_group_IT_number 10
_space_group_name_Hall '-P 2y'
loop_
_atom_site_label
_atom_site_type_symbol
_atom_site_fract_x
_atom_site_fract_y
_atom_site_fract_z
_atom_site_occupancy
Cu1 Cu 0.056 0.000 0.304 1
Ir1 Ir 0.500 0.000 0.500 1
Ir2 Ir 0.500 0.500 0.000 1
S1 S 0.298 0.500 0.276 1
S2 S 0.310 0.000 0.788 1



2.
# NiSn3Br (PBE-GGA, relaxed)
# - M_tot (μB/f.u.) = 0.0
# - V (Å³ per atom) = 26.1
# - excess energy over the best structure of this formula in the dataset (meV/atom) = 0
data_NiSn3Br
_chemical_formula_sum 'Ni1 Sn3 Br1'
_cell_length_a 5.073
_cell_length_b 5.073
_cell_length_c 5.073
_cell_angle_alpha 90.00
_cell_angle_beta 90.00
_cell_angle_gamma 90.00
_space_group_name_H-M_alt 'P m -3 m'
_space_group_IT_number 221
_space_group_name_Hall '-P 4 2 3'
loop_
_atom_site_label
_atom_site_type_symbol
_atom_site_fract_x
_atom_site_fract_y
_atom_site_fract_z
_atom_site_occupancy
Ni1 Ni 0.000 0.000 0.000 1
Sn1 Sn 0.000 0.000 0.500 1
Br1 Br 0.500 0.500 0.500 1



3.
# NaSmCdPb (PBE-GGA, relaxed)
# - energy of formation from the pure elements (eV/atom) = -0.303
# - M_tot (μB/f.u.) = 0.0
# - V (Å³ per atom) = 27.7
data_NaSmCdPb
_chemical_formula_sum 'Na1 Sm1 Cd1 Pb1'
_cell_length_a 4.166
_cell_length_b 5.009
_cell_length_c 5.301
_cell_angle_alpha 90.00
_cell_angle_beta 90.00
_cell_angle_gamma 90.00
_space_group_name_H-M_alt 'P m m m'
_space_group_IT_number 47
_space_group_name_Hall '-P 2 2'
loop_
_atom_site_label
_atom_site_type_symbol
_atom_site_fract_x
_atom_site_fract_y
_atom_site_fract_z
_atom_site_occupancy
Na1 Na 0.000 0.000 0.000 1
Sm1 Sm 0.000 0.500 0.500 1
Cd1 Cd 0.500 0.500 0.000 1
Pb1 Pb 0.500 0.000 0.500 1



4.
# SmZrSc2 (PBE-GGA, relaxed)
# - energy of formation from the pure elements (eV/atom) = 0.139
# - M_tot (μB/f.u.) = 0.0
# - V (Å³ per atom) = 25.7
# - excess energy over the best structure of this formula in the dataset (meV/atom) = 102
data_SmZrSc2
_chemical_formula_sum 'Sm4 Zr4 Sc8'
_cell_length_a 7.437
_cell_length_b 7.437
_cell_length_c 7.437
_cell_angle_alpha 90.00
_cell_angle_beta 90.00
_cell_angle_gamma 90.00
_space_group_name_H-M_alt 'F m -3 m'
_space_group_IT_number 225
_space_group_name_Hall '-F 4 2 3'
loop_
_atom_site_label
_atom_site_type_symbol
_atom_site_fract_x
_atom_site_fract_y
_atom_site_fract_z
_atom_site_occupancy
Sm1 Sm 0.000 0.000 0.000 1
Zr1 Zr 0.000 0.000 0.500 1
Sc1 Sc 0.250 0.250 0.250 1